First-principles (PBE) data for a relaxed VCrGaRe crystal, as listed in Alexandria.

Space-group type ... F-43m
Energy of formation ... -0.02 eV/atom

Unit cell a=6.0494 b=6.0494 c=6.0494 alpha=90.00 beta=90.00 gamma=90.00
Closest atoms and distances in Å follow each position.
Sites, in units of the cell vectors:
V1 0.0000 0.0000 0.0000  4 Re 2.62, 4 Ga 2.62
V2 0.0000 0.5000 0.5000  4 Re 2.62, 4 Ga 2.62
V3 0.5000 0.0000 0.5000  4 Re 2.62, 4 Ga 2.62
V4 0.5000 0.5000 0.0000  4 Re 2.62, 4 Ga 2.62
Cr1 0.0000 0.0000 0.5000  4 Re 2.62, 4 Ga 2.62
Cr2 0.0000 0.5000 0.0000  4 Re 2.62, 4 Ga 2.62
Cr3 0.5000 0.0000 0.0000  4 Re 2.62, 4 Ga 2.62
Cr4 0.5000 0.5000 0.5000  4 Re 2.62, 4 Ga 2.62
Ga1 0.2500 0.2500 0.2500  4 Cr 2.62, 4 V 2.62
Ga2 0.2500 0.7500 0.7500  4 Cr 2.62, 4 V 2.62
Ga3 0.7500 0.2500 0.7500  4 Cr 2.62, 4 V 2.62
Ga4 0.7500 0.7500 0.2500  4 Cr 2.62, 4 V 2.62
Re1 0.2500 0.2500 0.7500  4 Cr 2.62, 4 V 2.62
Re2 0.2500 0.7500 0.2500  4 Cr 2.62, 4 V 2.62
Re3 0.7500 0.2500 0.2500  4 Cr 2.62, 4 V 2.62
Re4 0.7500 0.7500 0.7500  4 Cr 2.62, 4 V 2.62

***

First-principles (PBE) data for a relaxed Ac6ZnSe3S2 crystal, as listed in Alexandria.

Formation energy from raw total energies ... -1.621 eV per atom
Space-group type ... C2/m

Unit cell a=7.6666 b=7.6666 c=7.7680 alpha=99.44 beta=99.44 gamma=119.91
Closest atoms and distances in Å follow each position.
Sites, in units of the cell vectors:
Ac1 0.0825 0.4199 0.7597  2 S 3.09-3.10, 1 Zn 3.13, 3 Se 3.17-3.20
Ac2 0.2423 0.2423 0.2391  2 S 3.09, 1 Zn 3.13, 3 Se 3.17-3.20
Ac3 0.4199 0.0825 0.7597  2 S 3.09-3.10, 1 Zn 3.13, 3 Se 3.17-3.20
Ac4 0.5801 0.9175 0.2403  2 S 3.09-3.10, 1 Zn 3.13, 3 Se 3.17-3.20
Ac5 0.7577 0.7577 0.7609  2 S 3.09, 1 Zn 3.13, 3 Se 3.17-3.20
Ac6 0.9175 0.5801 0.2403  2 S 3.09-3.10, 1 Zn 3.13, 3 Se 3.17-3.20
Zn1 0.5000 0.5000 0.0000  6 Ac 3.13
Se1 0.0000 0.0000 0.5000  6 Ac 3.17-3.20
Se2 0.3338 0.6662 0.5000  6 Ac 3.17-3.20
Se3 0.6662 0.3338 0.5000  6 Ac 3.17-3.20
S1 0.1665 0.8335 0.0000  6 Ac 3.09-3.10
S2 0.8335 0.1665 0.0000  6 Ac 3.09-3.10

***

Number 1: volume 13.84 Å³/atom, N(E_F) 15.8 states/eV per cell. Number 2: volume 31.16 Å³/atom, N(E_F) 6.4 states/eV per cell.